Model a:
HgClF3 | Alexandria via LeMat-Bulk | PBE-GGA | optimized geometry; space group = Pm-3m (221)
1.0
4.451 0.000 0.000
0.000 4.451 0.000
0.000 0.000 4.451
Hg Cl F
1 1 3
direct
0.000 0.000 0.000
0.500 0.500 0.500
0.000 0.000 0.500
0.000 0.500 0.000
0.500 0.000 0.000

***

Model b:
HgClF3 | Alexandria via LeMat-Bulk | PBE-GGA | optimized geometry; space group = P1 (1)
1.0
6.398 0.000 0.000
3.160 5.690 0.000
3.170 1.894 5.397
Hg Cl F
2 2 6
direct
0.000 0.000 0.000
0.391 0.393 0.249
0.603 0.609 0.668
0.785 0.789 0.686
0.047 0.570 0.167
0.231 0.227 0.689
0.291 0.763 0.228
0.558 0.058 0.166
0.772 0.286 0.223
0.958 0.963 0.679

***

Structures ranked by computed energy, the most stable listed first: model b, model a.